## EuZrPt2 (GGA-PBE)

Data for crystalline EuZrPt2 at its relaxed geometry.

Unit cell a=3.4102 b=3.4102 c=7.3430 alpha=90.00 beta=90.00 gamma=90.00
Atoms (fractional coordinates):
Eu: 0.0000 0.0000 0.0000
Zr: 0.0000 0.0000 0.5000
Pt: 0.5000 0.5000 0.2968
Pt: 0.5000 0.5000 0.7032

Space-group type   P4/mmm
Final energy   -8.690 eV/atom
Total magnetization   7.10 Bohr magnetons per cell